(1)
# Li6Pr2Ag3 (GGA-PBE, relaxed)
data_Li6Pr2Ag3
_cell_length_a 8.2599
_cell_length_b 8.2599
_cell_length_c 4.1048
_cell_angle_alpha 90.00
_cell_angle_beta 90.00
_cell_angle_gamma 120.00
_symmetry_space_group_name_H-M 'P -6 2 m'
_symmetry_Int_Tables_number 189
_symmetry_space_group_name_Hall 'P -6 -2'
loop_
_atom_site_label
_atom_site_type_symbol
_atom_site_fract_x
_atom_site_fract_y
_atom_site_fract_z
Li1 Li 0.0000 0.2671 0.0000
Li2 Li 0.0000 0.7989 0.5000
Pr1 Pr 0.3333 0.6667 0.5000
Ag1 Ag 0.0000 0.5967 0.0000
# formation enthalpy at 0 K	-0.087	eV/atom
# spin magnetization	0.00	μB per cell



(2)
# Sm2EuTl (GGA-PBE, relaxed)
data_Sm2EuTl
_cell_length_a 7.919
_cell_length_b 7.919
_cell_length_c 7.919
_cell_angle_alpha 90.00
_cell_angle_beta 90.00
_cell_angle_gamma 90.00
_symmetry_space_group_name_H-M 'F m -3 m'
_symmetry_Int_Tables_number 225
_symmetry_space_group_name_Hall '-F 4 2 3'
loop_
_atom_site_label
_atom_site_type_symbol
_atom_site_fract_x
_atom_site_fract_y
_atom_site_fract_z
Sm1 Sm 0.250 0.250 0.250
Eu1 Eu 0.000 0.000 0.000
Tl1 Tl 0.000 0.000 0.500
# ΔE to the lowest computed polymorph	94	meV per atom
# formation enthalpy at 0 K	-0.068	eV/atom
# spin magnetization	30.56	μB per cell



(3)
# ScTa3Pd (GGA-PBE, relaxed)
data_ScTa3Pd
_cell_length_a 4.872
_cell_length_b 4.872
_cell_length_c 4.872
_cell_angle_alpha 90.00
_cell_angle_beta 90.00
_cell_angle_gamma 90.00
_symmetry_space_group_name_H-M 'P m -3 m'
_symmetry_Int_Tables_number 221
_symmetry_space_group_name_Hall '-P 4 2 3'
loop_
_atom_site_label
_atom_site_type_symbol
_atom_site_fract_x
_atom_site_fract_y
_atom_site_fract_z
Sc1 Sc 0.000 0.000 0.000
Ta1 Ta 0.000 0.500 0.500
Pd1 Pd 0.500 0.500 0.500
# ΔE to the lowest computed polymorph	0	meV per atom
# formation enthalpy at 0 K	1.170	eV/atom
# spin magnetization	0.00	μB per cell



(4)
# LiTb2TlTe4 (GGA-PBE, relaxed)
data_LiTb2TlTe4
_cell_length_a 4.457
_cell_length_b 14.878
_cell_length_c 15.722
_cell_angle_alpha 90.00
_cell_angle_beta 90.00
_cell_angle_gamma 90.00
_symmetry_space_group_name_H-M 'C m c m'
_symmetry_Int_Tables_number 63
_symmetry_space_group_name_Hall '-C 2c 2'
loop_
_atom_site_label
_atom_site_type_symbol
_atom_site_fract_x
_atom_site_fract_y
_atom_site_fract_z
Li1 Li 0.000 0.164 0.250
Tb1 Tb 0.000 0.366 0.564
Tl1 Tl 0.000 0.112 0.750
Te1 Te 0.000 0.000 0.000
Te2 Te 0.000 0.269 0.110
Te3 Te 0.000 0.439 0.750
# raw formation energy	-1.144	eV/atom
# spin magnetization	0.00	μB per cell



(5)
# Pu4ZnPt3 (GGA-PBE, relaxed)
data_Pu4ZnPt3
_cell_length_a 11.134
_cell_length_b 11.134
_cell_length_c 5.503
_cell_angle_alpha 90.00
_cell_angle_beta 90.00
_cell_angle_gamma 90.00
_symmetry_space_group_name_H-M 'I 4/m c m'
_symmetry_Int_Tables_number 140
_symmetry_space_group_name_Hall '-I 4 2c'
loop_
_atom_site_label
_atom_site_type_symbol
_atom_site_fract_x
_atom_site_fract_y
_atom_site_fract_z
Pu1 Pu 0.085 0.228 0.000
Zn1 Zn 0.000 0.500 0.250
Pt1 Pt 0.000 0.000 0.250
Pt2 Pt 0.152 0.348 0.500
# formation enthalpy at 0 K	-0.658	eV/atom
# spin magnetization	89.93	μB per cell



(6)
# La2CuP3Rh12 (GGA-PBE, relaxed)
data_La2CuP3Rh12
_cell_length_a 8.4877
_cell_length_b 8.4877
_cell_length_c 15.1954
_cell_angle_alpha 90.00
_cell_angle_beta 90.00
_cell_angle_gamma 120.00
_symmetry_space_group_name_H-M 'R -3 m'
_symmetry_Int_Tables_number 166
_symmetry_space_group_name_Hall '-R 3 2"'
loop_
_atom_site_label
_atom_site_type_symbol
_atom_site_fract_x
_atom_site_fract_y
_atom_site_fract_z
La1 La 0.0000 0.0000 0.1107
Cu1 Cu 0.0000 0.0000 0.5000
P1 P 0.0000 0.5000 0.0000
Rh1 Rh 0.0017 0.5008 0.8549
Rh2 Rh 0.0557 0.5279 0.3593
# formation enthalpy at 0 K	-0.232	eV/atom
# spin magnetization	0.00	μB per cell



(7)
# RbCrS2 (GGA-PBE, relaxed)
data_RbCrS2
_cell_length_a 7.138
_cell_length_b 7.138
_cell_length_c 8.523
_cell_angle_alpha 90.00
_cell_angle_beta 90.00
_cell_angle_gamma 90.00
_symmetry_space_group_name_H-M 'I -4 2 d'
_symmetry_Int_Tables_number 122
_symmetry_space_group_name_Hall 'I -4 2bw'
loop_
_atom_site_label
_atom_site_type_symbol
_atom_site_fract_x
_atom_site_fract_y
_atom_site_fract_z
Rb1 Rb 0.000 0.000 0.000
Cr1 Cr 0.000 0.000 0.500
S1 S 0.127 0.750 0.625
# raw formation energy	-0.834	eV/atom
# spin magnetization	12.00	μB per cell



(8)
# NaSnPdI2 (GGA-PBE, relaxed)
data_NaSnPdI2
_cell_length_a 5.890
_cell_length_b 5.890
_cell_length_c 5.068
_cell_angle_alpha 90.00
_cell_angle_beta 90.00
_cell_angle_gamma 90.00
_symmetry_space_group_name_H-M 'P 4/m m m'
_symmetry_Int_Tables_number 123
_symmetry_space_group_name_Hall '-P 4 2'
loop_
_atom_site_label
_atom_site_type_symbol
_atom_site_fract_x
_atom_site_fract_y
_atom_site_fract_z
Na1 Na 0.000 0.000 0.000
Sn1 Sn 0.500 0.500 0.000
Pd1 Pd 0.500 0.500 0.500
I1 I 0.000 0.500 0.500
# raw formation energy	-0.268	eV/atom
# spin magnetization	0.00	μB per cell



- Which value of spin magnetization does entry 1 give?
  0.00 μB per cell



- Which value of spin magnetization does entry 5 give?
  89.93 μB per cell